1.
Entry from Alexandria via LeMat-Bulk: crystalline AcCdAgBi at its relaxed geometry (PBE).

The structure belongs to space group F-43m (No. 216); the cell edges are 7.699, 7.699 and 7.699 Å and the angles 90.00°, 90.00° and 90.00°. The asymmetric unit holds Ac at (0.000, 0.000, 0.000), Cd at (0.250, 0.250, 0.750), Ag at (0.250, 0.250, 0.250) and Bi at (0.000, 0.000, 0.500).

For the formation enthalpy at 0 K, the calculation gives -1.15 eV/f.u.

=====

2.
Entry from Alexandria via LeMat-Bulk: crystalline CuPdS2Cl at its relaxed geometry (PBE).

The structure belongs to space group P4/mmm (No. 123); the cell edges are 4.694, 4.694 and 4.854 Å and the angles 90.00°, 90.00° and 90.00°. The asymmetric unit holds Cu at (0.000, 0.000, 0.000), Pd at (0.500, 0.500, 0.500), S at (0.000, 0.500, 0.500) and Cl at (0.500, 0.500, 0.000).

The calculation puts the formation energy without anion corrections at 276.2 kJ/mol of formula units. The energy relative to the lowest polymorph listed for this composition is 0 meV/atom.

=====

3.
Entry from Alexandria via LeMat-Bulk: crystalline Li2InSbO4 at its relaxed geometry (PBE).

The structure belongs to space group I-4m2 (No. 119); the cell edges are 4.490, 4.490 and 9.694 Å and the angles 90.00°, 90.00° and 90.00°. The asymmetric unit holds Li at (0.000, 0.000, 0.000), Li at (0.000, 0.500, 0.250), In at (0.000, 0.000, 0.500), Sb at (0.000, 0.500, 0.750), O at (0.000, 0.000, 0.273) and O at (0.000, 0.500, 0.507).

The calculation puts the formation energy without anion corrections at -1175.0 kJ/mol of formula units.

=====

4.
Entry from Alexandria via LeMat-Bulk: crystalline MgMoIr2 at its relaxed geometry (PBE).

The structure belongs to space group Cmm2 (No. 35); the cell edges are 2.933, 4.627 and 9.240 Å and the angles 90.00°, 90.00° and 90.00°. The asymmetric unit holds Mg at (0.000, 0.000, 0.000), Mo at (0.000, 0.500, 0.730), Ir at (0.000, 0.000, 0.493) and Ir at (0.000, 0.500, 0.237).

For the formation enthalpy at 0 K, the calculation gives 0.70 eV/f.u.

=====

5.
Entry from Alexandria via LeMat-Bulk: crystalline LiPm2Zn at its relaxed geometry (PBE).

The structure belongs to space group P4/mmm (No. 123); the cell edges are 3.728, 3.728 and 7.447 Å and the angles 90.00°, 90.00° and 90.00°. The asymmetric unit holds Li at (0.000, 0.000, 0.000), Pm at (0.500, 0.500, 0.267) and Zn at (0.000, 0.000, 0.500).

For the formation enthalpy at 0 K, the calculation gives -0.48 eV/f.u. The energy relative to the lowest polymorph listed for this composition is 0 meV/atom.

=====

6.
Entry from Alexandria via LeMat-Bulk: crystalline NdSmSiI at its relaxed geometry (PBE).

The structure belongs to space group R3m (No. 160, hexagonal axes); the cell edges are 4.2646, 4.2646 and 23.4456 Å and the angles 90.00°, 90.00° and 120.00°. The asymmetric unit holds Nd at (0.0000, 0.0000, 0.0000), Sm at (0.0000, 0.0000, 0.7977), Si at (0.0000, 0.0000, 0.4010) and I at (0.0000, 0.0000, 0.2295).

The calculation puts the formation energy without anion corrections at -357.3 kJ/mol of formula units.